# SrHW2 GGA-PBE optimized geometry
data_SrHW2
_cell_length_a 5.868
_cell_length_b 5.868
_cell_length_c 8.279
_cell_angle_alpha 90.00
_cell_angle_beta 90.00
_cell_angle_gamma 90.00
_space_group_name_H-M_alt 'I 41/a m d'
_space_group_IT_number 141
loop_
_space_group_symop_operation_xyz
'x,y,z'
'-x,-y,-z'
'-y+1/4,x+3/4,z+1/4'
'y+1/4,-x+3/4,-z+1/4'
'-x+1/2,-y,z+1/2'
'x+1/2,y,-z+1/2'
'y+1/4,-x+1/4,z+3/4'
'-y+1/4,x+1/4,-z+3/4'
'x,-y,-z'
'-x,y,z'
'-y+1/4,-x+1/4,-z+3/4'
'y+1/4,x+1/4,z+3/4'
'-x+1/2,y,-z+1/2'
'x+1/2,-y,z+1/2'
'y+1/4,x+3/4,-z+1/4'
'-y+1/4,-x+3/4,z+1/4'
'x+1/2,y+1/2,z+1/2'
'-x+1/2,-y+1/2,-z+1/2'
'-y+3/4,x+1/4,z+3/4'
'y+3/4,-x+1/4,-z+3/4'
'-x,-y+1/2,z'
'x,y+1/2,-z'
'y+3/4,-x+3/4,z+1/4'
'-y+3/4,x+3/4,-z+1/4'
'x+1/2,-y+1/2,-z+1/2'
'-x+1/2,y+1/2,z+1/2'
'-y+3/4,-x+3/4,-z+1/4'
'y+3/4,x+3/4,z+1/4'
'-x,y+1/2,-z'
'x,-y+1/2,z'
'y+3/4,x+1/4,-z+3/4'
'-y+3/4,-x+1/4,z+3/4'
loop_
_atom_site_label
_atom_site_type_symbol
_atom_site_fract_x
_atom_site_fract_y
_atom_site_fract_z
Sr1 Sr 0.000 0.250 0.375
H1 H 0.000 0.250 0.875
W1 W 0.000 0.000 0.000
# Distance to the lowest polymorph of the same formula: 0 meV per atom

***

# NdYTh4 GGA-PBE optimized geometry
data_NdYTh4
_cell_length_a 9.416
_cell_length_b 9.416
_cell_length_c 9.416
_cell_angle_alpha 90.00
_cell_angle_beta 90.00
_cell_angle_gamma 90.00
_space_group_name_H-M_alt 'F -4 3 m'
_space_group_IT_number 216
_space_group_name_Hall 'F -4 2 3'
loop_
_atom_site_label
_atom_site_type_symbol
_atom_site_fract_x
_atom_site_fract_y
_atom_site_fract_z
Nd1 Nd 0.000 0.000 0.000
Y1 Y 0.250 0.250 0.750
Th1 Th 0.125 0.125 0.375
# Total energy: -157.4 eV/cell

***

# Ac2DyRhO6 GGA-PBE optimized geometry
data_Ac2DyRhO6
_cell_length_a 5.796
_cell_length_b 8.378
_cell_length_c 6.148
_cell_angle_alpha 90.00
_cell_angle_beta 90.00
_cell_angle_gamma 90.00
_space_group_name_H-M_alt 'P m m n'
_space_group_IT_number 59
loop_
_space_group_symop_operation_xyz
'x,y,z'
'-x,-y,-z'
'-x+1/2,-y+1/2,z'
'x+1/2,y+1/2,-z'
'x+1/2,-y,-z'
'-x+1/2,y,z'
'-x,y+1/2,-z'
'x,-y+1/2,z'
loop_
_atom_site_label
_atom_site_type_symbol
_atom_site_fract_x
_atom_site_fract_y
_atom_site_fract_z
Ac1 Ac 0.250 0.025 0.208
Dy1 Dy 0.250 0.250 0.714
Rh1 Rh 0.250 0.750 0.777
O1 O 0.001 0.250 0.990
O2 O 0.008 0.250 0.447
O3 O 0.250 0.507 0.791
# Raw formation energy: -2.65 eV per atom

***

# SrCoTc GGA-PBE optimized geometry
data_SrCoTc
_cell_length_a 7.612
_cell_length_b 4.086
_cell_length_c 9.911
_cell_angle_alpha 90.00
_cell_angle_beta 99.71
_cell_angle_gamma 90.00
_space_group_name_H-M_alt 'C 1 m 1'
_space_group_IT_number 8
loop_
_space_group_symop_operation_xyz
'x,y,z'
'x,-y,z'
'x+1/2,y+1/2,z'
'x+1/2,-y+1/2,z'
loop_
_atom_site_label
_atom_site_type_symbol
_atom_site_fract_x
_atom_site_fract_y
_atom_site_fract_z
Sr1 Sr 0.000 0.000 0.000
Sr2 Sr 0.232 0.000 0.618
Co1 Co 0.013 0.500 0.436
Co2 Co 0.084 0.000 0.317
Tc1 Tc 0.269 0.500 0.320
Tc2 Tc 0.367 0.000 0.213
# Distance to the lowest polymorph of the same formula: 91 meV per atom

***

# CaSiPb3 GGA-PBE optimized geometry
data_CaSiPb3
_cell_length_a 5.471
_cell_length_b 5.471
_cell_length_c 5.471
_cell_angle_alpha 90.00
_cell_angle_beta 90.00
_cell_angle_gamma 90.00
_space_group_name_H-M_alt 'P m -3 m'
_space_group_IT_number 221
_space_group_name_Hall '-P 4 2 3'
loop_
_atom_site_label
_atom_site_type_symbol
_atom_site_fract_x
_atom_site_fract_y
_atom_site_fract_z
Ca1 Ca 0.000 0.000 0.000
Si1 Si 0.500 0.500 0.500
Pb1 Pb 0.000 0.500 0.500
# Raw formation energy: 0.24 eV per atom
# Distance to the lowest polymorph of the same formula: 0 meV per atom

***

# Cd2Fe2Au GGA-PBE optimized geometry
data_Cd2Fe2Au
_cell_length_a 6.612
_cell_length_b 6.612
_cell_length_c 4.010
_cell_angle_alpha 90.00
_cell_angle_beta 90.00
_cell_angle_gamma 90.00
_space_group_name_H-M_alt 'P 4/m b m'
_space_group_IT_number 127
_space_group_name_Hall '-P 4 2ab'
loop_
_atom_site_label
_atom_site_type_symbol
_atom_site_fract_x
_atom_site_fract_y
_atom_site_fract_z
Cd1 Cd 0.177 0.323 0.000
Fe1 Fe 0.116 0.616 0.500
Au1 Au 0.000 0.000 0.500
# Distance to the lowest polymorph of the same formula: 0 meV per atom

***

# Pm5Pd2O12 GGA-PBE optimized geometry
data_Pm5Pd2O12
_cell_length_a 12.772
_cell_length_b 6.050
_cell_length_c 7.491
_cell_angle_alpha 90.00
_cell_angle_beta 107.12
_cell_angle_gamma 90.00
_space_group_name_H-M_alt 'C 1 2/m 1'
_space_group_IT_number 12
loop_
_space_group_symop_operation_xyz
'x,y,z'
'-x,-y,-z'
'-x,y,-z'
'x,-y,z'
'x+1/2,y+1/2,z'
'-x+1/2,-y+1/2,-z'
'-x+1/2,y+1/2,-z'
'x+1/2,-y+1/2,z'
loop_
_atom_site_label
_atom_site_type_symbol
_atom_site_fract_x
_atom_site_fract_y
_atom_site_fract_z
Pm1 Pm 0.000 0.000 0.000
Pm2 Pm 0.195 0.500 0.336
Pm3 Pm 0.197 0.500 0.858
Pd1 Pd 0.000 0.247 0.500
O1 O 0.000 0.000 0.321
O2 O 0.000 0.500 0.319
O3 O 0.153 0.249 0.075
O4 O 0.164 0.264 0.582
# Raw formation energy: -2.41 eV per atom

***

# ScAl2Os GGA-PBE optimized geometry
data_ScAl2Os
_cell_length_a 2.9831
_cell_length_b 2.9831
_cell_length_c 26.6237
_cell_angle_alpha 90.00
_cell_angle_beta 90.00
_cell_angle_gamma 120.00
_space_group_name_H-M_alt 'R 3 m'
_space_group_IT_number 160
_space_group_name_Hall 'R 3 -2"'
loop_
_atom_site_label
_atom_site_type_symbol
_atom_site_fract_x
_atom_site_fract_y
_atom_site_fract_z
Sc1 Sc 0.0000 0.0000 0.0000
Al1 Al 0.0000 0.0000 0.2383
Al2 Al 0.0000 0.0000 0.4861
Os1 Os 0.0000 0.0000 0.7458
# Total energy: -76.1 eV/cell

***

How do the records compare in total magnetic moment? In the order shown, they have 0.000 0.000 0.000 0.029 0.000 4.590 0.229 0.000 μB/f.u..